Entry 1:
# La2SmMg3Pt2Au

A geometry-optimized La2SmMg3Pt2Au structure (GGA-PBE, OQMD via LeMat-Bulk).

It has space group Amm2 (No. 38), with a = 4.156 Å, b = 13.323 Å, c = 7.643 Å, α = 90.00°, β = 90.00° and γ = 90.00°. The inequivalent atoms are La at (0.000, 0.210, 0.000), Sm at (0.000, 0.000, 0.626), Mg at (0.500, 0.000, 0.962), Mg at (0.500, 0.120, 0.334), Pt at (0.500, 0.165, 0.709) and Au at (0.000, 0.000, 0.213).

The calculated total energy comes out at -84.3 eV for the cell shown.

Entry 2:
# LuZnInO3

A geometry-optimized LuZnInO3 structure (GGA-PBE, OQMD via LeMat-Bulk).

It has space group Cmcm (No. 63), with a = 3.130 Å, b = 17.122 Å, c = 6.365 Å, α = 90.00°, β = 90.00° and γ = 90.00°. The inequivalent atoms are Lu at (0.000, 0.000, 0.000), Zn at (0.000, 0.373, 0.250), In at (0.000, 0.318, 0.750), O at (0.000, 0.121, 0.029) and O at (0.000, 0.263, 0.250).

The calculated total energy comes out at -126.3 eV for the cell shown.

Entry 3:
# TbIn2Ni

A geometry-optimized TbIn2Ni structure (GGA-PBE, OQMD via LeMat-Bulk).

It has space group Cmmm (No. 65), with a = 4.441 Å, b = 18.889 Å, c = 4.264 Å, α = 90.00°, β = 90.00° and γ = 90.00°. The inequivalent atoms are Tb at (0.000, 0.139, 0.000), In at (0.000, 0.000, 0.500), In at (0.000, 0.294, 0.500), In at (0.000, 0.500, 0.000) and Ni at (0.000, 0.425, 0.500).

The calculated total energy comes out at -68.4 eV for the cell shown.

Entry 4:
# Tm2IrO4

A geometry-optimized Tm2IrO4 structure (GGA-PBE, OQMD via LeMat-Bulk).

It has space group Fd-3m (No. 227, origin choice 2), with a = 9.328 Å, b = 9.328 Å, c = 9.328 Å, α = 90.00°, β = 90.00° and γ = 90.00°. The inequivalent atoms are Tm at (0.000, 0.000, 0.000), Ir at (0.125, 0.125, 0.625) and O at (0.012, 0.012, 0.238).

The calculated total energy comes out at -421.4 eV for the cell shown.

Entry 5:
# AlCdGaSe4

A geometry-optimized AlCdGaSe4 structure (GGA-PBE, OQMD via LeMat-Bulk).

It has space group P4_122 (No. 91), with a = 7.843 Å, b = 7.843 Å, c = 10.875 Å, α = 90.00°, β = 90.00° and γ = 90.00°. The inequivalent atoms are Al at (0.240, 0.240, 0.375), Cd at (0.254, 0.500, 0.750), Ga at (0.000, 0.259, 0.000), Se at (0.015, 0.237, 0.760) and Se at (0.239, 0.493, 0.008).

As for the offset from the most stable computed form: 0.184 eV/atom. The calculated total energy comes out at -101.6 eV for the cell shown.

Entry 6:
# CsReO3

A geometry-optimized CsReO3 structure (GGA-PBE, OQMD via LeMat-Bulk).

It has space group P4mm (No. 99), with a = 3.848 Å, b = 3.848 Å, c = 5.665 Å, α = 90.00°, β = 90.00° and γ = 90.00°. The inequivalent atoms are Cs at (0.000, 0.000, 0.000), Re at (0.500, 0.500, 0.506), O at (0.000, 0.500, 0.542) and O at (0.500, 0.500, 0.181).

The calculated total energy comes out at -35.2 eV for the cell shown.

Entry 7:
# YHfMo

A geometry-optimized YHfMo structure (GGA-PBE, OQMD via LeMat-Bulk).

It has space group Pnma (No. 62), with a = 6.397 Å, b = 5.019 Å, c = 8.358 Å, α = 90.00°, β = 90.00° and γ = 90.00°. The inequivalent atoms are Y at (0.034, 0.250, 0.189), Hf at (0.241, 0.750, 0.359) and Mo at (0.162, 0.250, 0.538).

As for the offset from the most stable computed form: 0.191 eV/atom. For the formation enthalpy at 0 K, the calculation gives 101 kJ/mol of formula units. The calculated total energy comes out at -104.9 eV for the cell shown.

Entry 8:
# TmGaB

A geometry-optimized TmGaB structure (GGA-PBE, OQMD via LeMat-Bulk).

It has space group F-43m (No. 216), with a = 5.784 Å, b = 5.784 Å, c = 5.784 Å, α = 90.00°, β = 90.00° and γ = 90.00°. The inequivalent atoms are Tm at (0.000, 0.000, 0.000), Ga at (0.000, 0.000, 0.500) and B at (0.250, 0.250, 0.750).

As for the offset from the most stable computed form: 0.000 eV/atom. The calculated total energy comes out at -58.7 eV for the cell shown.

Entry 9:
# TcPOsO

A geometry-optimized TcPOsO structure (GGA-PBE, OQMD via LeMat-Bulk).

It has space group P4/nmm (No. 129, origin choice 2), with a = 3.996 Å, b = 3.996 Å, c = 6.049 Å, α = 90.00°, β = 90.00° and γ = 90.00°. The inequivalent atoms are Tc at (0.250, 0.250, 0.145), P at (0.250, 0.250, 0.713), Os at (0.250, 0.750, 0.500) and O at (0.250, 0.750, 0.000).

As for the offset from the most stable computed form: 0.059 eV/atom. The calculated total energy comes out at -65.4 eV for the cell shown.

Entry 10:
# HoAl4ZnPd2

A geometry-optimized HoAl4ZnPd2 structure (GGA-PBE, OQMD via LeMat-Bulk).

It has space group Amm2 (No. 38), with a = 7.064 Å, b = 4.189 Å, c = 9.623 Å, α = 90.00°, β = 90.00° and γ = 90.00°. The inequivalent atoms are Ho at (0.000, 0.000, 0.000), Al at (0.211, 0.000, 0.708), Al at (0.307, 0.000, 0.422), Zn at (0.500, 0.000, 0.142), Pd at (0.000, 0.000, 0.284) and Pd at (0.500, 0.000, 0.866).

The calculated total energy comes out at -71.6 eV for the cell shown.

Entry 11:
# SmScCd

A geometry-optimized SmScCd structure (GGA-PBE, OQMD via LeMat-Bulk).

It has space group F-43m (No. 216), with a = 6.985 Å, b = 6.985 Å, c = 6.985 Å, α = 90.00°, β = 90.00° and γ = 90.00°. The inequivalent atoms are Sm at (0.000, 0.000, 0.000), Sc at (0.250, 0.250, 0.750) and Cd at (0.000, 0.000, 0.500).

As for the offset from the most stable computed form: 0.000 eV/atom. For the formation enthalpy at 0 K, the calculation gives 118 kJ/mol of formula units. The calculated total energy comes out at -42.9 eV for the cell shown.

Entry 12:
# GdYCo2B2N2

A geometry-optimized GdYCo2B2N2 structure (GGA-PBE, OQMD via LeMat-Bulk).

It has space group P4mm (No. 99), with a = 3.500 Å, b = 3.500 Å, c = 7.459 Å, α = 90.00°, β = 90.00° and γ = 90.00°. The inequivalent atoms are Gd at (0.000, 0.000, 0.000), Y at (0.500, 0.500, 0.662), Co at (0.000, 0.500, 0.331), B at (0.000, 0.000, 0.479), B at (0.500, 0.500, 0.182), N at (0.000, 0.000, 0.681) and N at (0.500, 0.500, 0.979).

The calculated total energy comes out at -63.9 eV for the cell shown.